Entry 1:
Material: Pm4YTm6
Method: DFT, PBE
State: relaxed

Raw total energy   -4.590 eV/atom
E above lowest polymorph   0.0 meV per atom
Formation energy from the elements   0.164 eV per atom
SG   P-6m2
Calculated volume   361.9 Å³/cell
Density   7.7 g cm⁻³

Unit cell a=10.893 b=10.893 c=3.522 alpha=90.00 beta=90.00 gamma=120.00
Fractional coordinates of all 11 atoms:
Pm 0.000 0.000 0.000
Pm 0.057 0.528 0.500
Pm 0.472 0.528 0.500
Pm 0.472 0.943 0.500
Y 0.667 0.333 0.000
Tm 0.163 0.327 0.000
Tm 0.163 0.837 0.000
Tm 0.326 0.163 0.500
Tm 0.673 0.837 0.000
Tm 0.837 0.163 0.500
Tm 0.837 0.674 0.500

=====

Entry 2:
Material: TmAlNi4
Method: DFT, PBE
State: relaxed

Raw total energy   -5.760 eV/atom
E above lowest polymorph   0.0 meV per atom
Formation energy from the elements   -0.537 eV per atom
SG   Cmmm
Calculated volume   83.7 Å³/cell
Density   8.5 g cm⁻³

Unit cell a=4.869 b=4.869 c=4.018 alpha=90.00 beta=90.00 gamma=118.48
Fractional coordinates of all 6 atoms:
Tm 0.000 0.000 0.000
Al 0.500 0.500 0.500
Ni 0.000 0.500 0.500
Ni 0.333 0.667 0.000
Ni 0.500 0.000 0.500
Ni 0.667 0.333 0.000

=====

Entry 3:
Material: LiReNi2
Method: DFT, PBE
State: relaxed

Raw total energy   -6.360 eV/atom
E above lowest polymorph   115.1 meV per atom
Formation energy from the elements   0.121 eV per atom
SG   Imm2
Calculated volume   51.1 Å³/cell
Density   10.1 g cm⁻³

Unit cell a=5.303 b=5.303 c=5.303 alpha=151.95 beta=132.88 gamma=55.74
Fractional coordinates of all 4 atoms:
Li 0.000 0.000 0.000
Re 0.711 0.211 0.500
Ni 0.270 0.770 0.500
Ni 0.489 0.489 0.000

=====

Entry 4:
Material: LiMg2Ga2Au5
Method: DFT, PBE
State: relaxed

Raw total energy   -3.108 eV/atom
Formation energy from the elements   -0.354 eV per atom
SG   P4/mbm
Calculated volume   366.7 Å³/cell
Density   10.7 g cm⁻³

Unit cell a=9.992 b=9.992 c=3.673 alpha=90.00 beta=90.00 gamma=90.00
Fractional coordinates of all 20 atoms:
Li 0.000 0.000 0.000
Li 0.500 0.500 0.000
Mg 0.165 0.335 0.000
Mg 0.335 0.835 0.000
Mg 0.665 0.165 0.000
Mg 0.835 0.665 0.000
Ga 0.143 0.643 0.000
Ga 0.357 0.143 0.000
Ga 0.643 0.857 0.000
Ga 0.857 0.357 0.000
Au 0.000 0.500 0.500
Au 0.020 0.797 0.500
Au 0.203 0.020 0.500
Au 0.297 0.520 0.500
Au 0.480 0.297 0.500
Au 0.500 0.000 0.500
Au 0.520 0.703 0.500
Au 0.703 0.480 0.500
Au 0.797 0.980 0.500
Au 0.980 0.203 0.500

=====

Entry 5:
Material: Nd3NCl6
Method: DFT, PBE
State: relaxed

Raw total energy   -5.533 eV/atom
SG   Pbca
Energy relative to the elements, uncorrected   -2086 kJ/mol of formula units
Calculated volume   1987.6 Å³/cell
Density   4.4 g cm⁻³

Unit cell a=10.578 b=11.390 c=16.496 alpha=90.00 beta=90.00 gamma=90.00
Fractional coordinates of all 80 atoms:
Nd 0.012 0.213 0.048
Nd 0.012 0.287 0.548
Nd 0.141 0.021 0.439
Nd 0.141 0.479 0.939
Nd 0.155 0.038 0.677
Nd 0.155 0.462 0.177
Nd 0.345 0.538 0.677
Nd 0.345 0.962 0.177
Nd 0.359 0.521 0.439
Nd 0.359 0.979 0.939
Nd 0.488 0.713 0.048
Nd 0.488 0.787 0.548
Nd 0.512 0.213 0.452
Nd 0.512 0.287 0.952
Nd 0.641 0.021 0.061
Nd 0.641 0.479 0.561
Nd 0.655 0.038 0.823
Nd 0.655 0.462 0.323
Nd 0.845 0.538 0.823
Nd 0.845 0.962 0.323
Nd 0.859 0.521 0.061
Nd 0.859 0.979 0.561
Nd 0.988 0.713 0.452
Nd 0.988 0.787 0.952
N 0.048 0.092 0.561
N 0.048 0.408 0.061
N 0.452 0.592 0.561
N 0.452 0.908 0.061
N 0.548 0.092 0.939
N 0.548 0.408 0.439
N 0.952 0.592 0.939
N 0.952 0.908 0.439
Cl 0.029 0.684 0.125
Cl 0.029 0.816 0.625
Cl 0.105 0.575 0.772
Cl 0.105 0.925 0.272
Cl 0.131 0.569 0.340
Cl 0.131 0.931 0.840
Cl 0.144 0.529 0.555
Cl 0.144 0.971 0.055
Cl 0.165 0.218 0.186
Cl 0.165 0.282 0.686
Cl 0.248 0.214 0.956
Cl 0.248 0.286 0.456
Cl 0.252 0.714 0.956
Cl 0.252 0.786 0.456
Cl 0.335 0.718 0.186
Cl 0.335 0.782 0.686
Cl 0.356 0.029 0.555
Cl 0.356 0.471 0.055
Cl 0.369 0.069 0.340
Cl 0.369 0.431 0.840
Cl 0.395 0.075 0.772
Cl 0.395 0.425 0.272
Cl 0.471 0.184 0.125
Cl 0.471 0.316 0.625
Cl 0.529 0.684 0.375
Cl 0.529 0.816 0.875
Cl 0.605 0.575 0.728
Cl 0.605 0.925 0.228
Cl 0.631 0.569 0.160
Cl 0.631 0.931 0.660
Cl 0.644 0.529 0.945
Cl 0.644 0.971 0.445
Cl 0.665 0.218 0.314
Cl 0.665 0.282 0.814
Cl 0.748 0.214 0.544
Cl 0.748 0.286 0.044
Cl 0.752 0.714 0.544
Cl 0.752 0.786 0.044
Cl 0.835 0.718 0.314
Cl 0.835 0.782 0.814
Cl 0.856 0.029 0.945
Cl 0.856 0.471 0.445
Cl 0.869 0.069 0.160
Cl 0.869 0.431 0.660
Cl 0.895 0.075 0.728
Cl 0.895 0.425 0.228
Cl 0.971 0.184 0.375
Cl 0.971 0.316 0.875

=====

Entry 6:
Material: K2AcThSe4
Method: DFT, PBE
State: relaxed

Raw total energy   -5.113 eV/atom
SG   P2/m
Energy relative to the elements, uncorrected   -1277 kJ/mol of formula units
Calculated volume   262.1 Å³/cell
Density   5.4 g cm⁻³

Unit cell a=7.670 b=4.400 c=8.167 alpha=90.00 beta=108.01 gamma=90.00
Fractional coordinates of all 8 atoms:
K 0.000 0.000 0.000
K 0.500 0.500 0.000
Ac 0.000 0.500 0.500
Th 0.500 0.000 0.500
Se 0.256 0.000 0.721
Se 0.276 0.500 0.286
Se 0.724 0.500 0.714
Se 0.744 0.000 0.279

=====

Entry 7:
Material: CaInI
Method: DFT, PBE
State: relaxed

Raw total energy   -2.943 eV/atom
SG   C2/m
Energy relative to the elements, uncorrected   -245 kJ/mol of formula units
Calculated volume   207.4 Å³/cell
Density   4.5 g cm⁻³

Unit cell a=4.196 b=4.196 c=11.778 alpha=90.02 beta=90.02 gamma=89.97
Fractional coordinates of all 6 atoms:
Ca 0.249 0.249 0.268
Ca 0.751 0.751 0.732
In 0.250 0.750 0.500
In 0.750 0.250 0.500
I 0.250 0.250 0.856
I 0.750 0.750 0.144

=====

Entry 8:
Material: CdCo2Tc
Method: DFT, PBE
State: relaxed

Raw total energy   -6.119 eV/atom
Formation energy from the elements   0.254 eV per atom
SG   Pmmm
Calculated volume   55.6 Å³/cell
Density   9.8 g cm⁻³

Unit cell a=2.728 b=3.502 c=5.825 alpha=90.00 beta=90.00 gamma=90.00
Fractional coordinates of all 4 atoms:
Cd 0.000 0.000 0.000
Co 0.500 0.500 0.291
Co 0.500 0.500 0.709
Tc 0.000 0.000 0.500

=====

Entry 9:
Material: Si2AsRh
Method: DFT, PBE
State: relaxed

Raw total energy   -5.667 eV/atom
E above lowest polymorph   256.7 meV per atom
SG   C2/m
Energy relative to the elements, uncorrected   17 kJ/mol of formula units
Calculated volume   63.2 Å³/cell
Density   6.1 g cm⁻³

Unit cell a=3.902 b=3.902 c=4.870 alpha=109.26 beta=109.26 gamma=98.56
Fractional coordinates of all 4 atoms:
Si 0.000 0.500 0.000
Si 0.500 0.000 0.000
As 0.000 0.000 0.500
Rh 0.500 0.500 0.500

=====

Entry 10:
Material: Y3BI
Method: DFT, PBE
State: relaxed

Raw total energy   -5.696 eV/atom
E above lowest polymorph   0.0 meV per atom
SG   Pm-3m
Energy relative to the elements, uncorrected   -83 kJ/mol of formula units
Calculated volume   133.4 Å³/cell
Density   5.0 g cm⁻³

Unit cell a=5.110 b=5.110 c=5.110 alpha=90.00 beta=90.00 gamma=90.00
Fractional coordinates of all 5 atoms:
Y 0.000 0.000 0.500
Y 0.000 0.500 0.000
Y 0.500 0.000 0.000
B 0.000 0.000 0.000
I 0.500 0.500 0.500

=====

Entry 11:
Material: CeHfSb2
Method: DFT, PBE
State: relaxed

Raw total energy   -6.563 eV/atom
E above lowest polymorph   157.8 meV per atom
SG   P4/mmm
Energy relative to the elements, uncorrected   -205 kJ/mol of formula units
Calculated volume   100.8 Å³/cell
Density   9.3 g cm⁻³

Unit cell a=3.647 b=3.647 c=7.582 alpha=90.00 beta=90.00 gamma=90.00
Fractional coordinates of all 4 atoms:
Ce 0.000 0.000 0.000
Hf 0.000 0.000 0.500
Sb 0.500 0.500 0.276
Sb 0.500 0.500 0.724

=====

Entry 12:
Material: PrAlZn2Ag4
Method: DFT, PBE
State: relaxed

Raw total energy   -2.937 eV/atom
Formation energy from the elements   -0.128 eV per atom
SG   R-3m
Calculated volume   156.8 Å³/cell
Density   7.7 g cm⁻³

Unit cell a=9.206 b=9.206 c=9.206 alpha=28.48 beta=28.48 gamma=28.48
Fractional coordinates of all 8 atoms:
Pr 0.000 0.000 0.000
Al 0.500 0.500 0.500
Zn 0.248 0.248 0.248
Zn 0.752 0.752 0.752
Ag 0.133 0.133 0.133
Ag 0.402 0.402 0.402
Ag 0.598 0.598 0.598
Ag 0.867 0.867 0.867

=====

Entry 13:
Material: ZnCr2Si
Method: DFT, PBE
State: relaxed

Raw total energy   -5.996 eV/atom
SG   I-42d
Energy relative to the elements, uncorrected   189 kJ/mol of formula units
Calculated volume   109.1 Å³/cell
Density   6.0 g cm⁻³

Unit cell a=5.295 b=5.295 c=5.295 alpha=103.00 beta=103.00 gamma=123.38
Fractional coordinates of all 8 atoms:
Zn 0.000 0.000 0.000
Zn 0.750 0.250 0.500
Cr 0.143 0.625 0.018
Cr 0.375 0.393 0.518
Cr 0.607 0.125 0.982
Cr 0.875 0.857 0.482
Si 0.250 0.750 0.500
Si 0.500 0.500 0.000

=====

Entry 14:
Material: SrReAg2
Method: DFT, PBE
State: relaxed

Raw total energy   -4.192 eV/atom
E above lowest polymorph   93.4 meV per atom
Formation energy from the elements   0.766 eV per atom
SG   Imm2
Calculated volume   82.0 Å³/cell
Density   9.9 g cm⁻³

Unit cell a=6.116 b=6.116 c=6.116 alpha=152.56 beta=128.44 gamma=59.39
Fractional coordinates of all 4 atoms:
Sr 0.000 0.000 0.000
Re 0.731 0.231 0.500
Ag 0.272 0.772 0.500
Ag 0.505 0.505 0.000

=====

Entry 15:
Material: AlTe2I
Method: DFT, PBE
State: relaxed

Raw total energy   -2.685 eV/atom
E above lowest polymorph   421.2 meV per atom
SG   R-3m
Energy relative to the elements, uncorrected   81 kJ/mol of formula units
Calculated volume   131.8 Å³/cell
Density   5.2 g cm⁻³

Unit cell a=14.808 b=14.808 c=14.808 alpha=12.48 beta=12.48 gamma=12.48
Fractional coordinates of all 4 atoms:
Al 0.000 0.000 0.000
Te 0.064 0.064 0.064
Te 0.936 0.936 0.936
I 0.500 0.500 0.500

=====

Entry 16:
Material: Nd3YIn4
Method: DFT, PBE
State: relaxed

Raw total energy   -4.464 eV/atom
E above lowest polymorph   0.0 meV per atom
Formation energy from the elements   -0.499 eV per atom
SG   P4/mmm
Calculated volume   228.0 Å³/cell
Density   7.1 g cm⁻³

Unit cell a=3.836 b=3.836 c=15.498 alpha=90.00 beta=90.00 gamma=90.00
Fractional coordinates of all 8 atoms:
Nd 0.000 0.000 0.000
Nd 0.000 0.000 0.255
Nd 0.000 0.000 0.745
Y 0.000 0.000 0.500
In 0.500 0.500 0.127
In 0.500 0.500 0.383
In 0.500 0.500 0.617
In 0.500 0.500 0.873

=====

Entry 17:
Material: LaYSc2
Method: DFT, PBE
State: relaxed

Raw total energy   -5.945 eV/atom
E above lowest polymorph   17.0 meV per atom
Formation energy from the elements   0.068 eV per atom
SG   P4/mmm
Calculated volume   117.3 Å³/cell
Density   4.5 g cm⁻³

Unit cell a=5.085 b=5.085 c=4.538 alpha=90.00 beta=90.00 gamma=90.00
Fractional coordinates of all 4 atoms:
La 0.000 0.000 0.000
Y 0.500 0.500 0.000
Sc 0.000 0.500 0.500
Sc 0.500 0.000 0.500

=====

Entry 18:
Material: ZrIn2Hg
Method: DFT, PBE
State: relaxed

Raw total energy   -3.640 eV/atom
Formation energy from the elements   -0.058 eV per atom
SG   Pmmm
Calculated volume   93.7 Å³/cell
Density   9.2 g cm⁻³

Unit cell a=3.371 b=4.348 c=6.392 alpha=90.00 beta=90.00 gamma=90.00
Fractional coordinates of all 4 atoms:
Zr 0.000 0.000 0.000
In 0.500 0.500 0.240
In 0.500 0.500 0.760
Hg 0.000 0.000 0.500

=====

Entry 19:
Material: NaGe2Te2
Method: DFT, PBE
State: relaxed

Raw total energy   -3.458 eV/atom
E above lowest polymorph   92.4 meV per atom
SG   P4/mbm
Energy relative to the elements, uncorrected   -44 kJ/mol of formula units
Calculated volume   262.3 Å³/cell
Density   5.4 g cm⁻³

Unit cell a=8.162 b=8.162 c=3.937 alpha=90.00 beta=90.00 gamma=90.00
Fractional coordinates of all 10 atoms:
Na 0.000 0.000 0.000
Na 0.500 0.500 0.000
Ge 0.120 0.380 0.000
Ge 0.380 0.880 0.000
Ge 0.620 0.120 0.000
Ge 0.880 0.620 0.000
Te 0.196 0.696 0.500
Te 0.304 0.196 0.500
Te 0.696 0.804 0.500
Te 0.804 0.304 0.500

=====

Entry 20:
Material: LiNpPaO6
Method: DFT, PBE
State: relaxed

Raw total energy   -8.981 eV/atom
SG   P-31c
Energy relative to the elements, uncorrected   -2579 kJ/mol of formula units
Calculated volume   242.9 Å³/cell
Density   7.8 g cm⁻³

Unit cell a=5.335 b=5.335 c=9.857 alpha=90.00 beta=90.00 gamma=120.00
Fractional coordinates of all 18 atoms:
Li 0.333 0.667 0.250
Li 0.667 0.333 0.750
Np 0.333 0.667 0.750
Np 0.667 0.333 0.250
Pa 0.000 0.000 0.000
Pa 0.000 0.000 0.500
O 0.016 0.342 0.631
O 0.016 0.675 0.869
O 0.325 0.342 0.869
O 0.325 0.984 0.631
O 0.342 0.016 0.131
O 0.342 0.325 0.369
O 0.658 0.675 0.631
O 0.658 0.984 0.869
O 0.675 0.016 0.369
O 0.675 0.658 0.131
O 0.984 0.325 0.131
O 0.984 0.658 0.369

=====

Entry 21:
Material: Ho3Th2
Method: DFT, PBE
State: relaxed

Raw total energy   -5.694 eV/atom
E above lowest polymorph   0.0 meV per atom
Formation energy from the elements   0.021 eV per atom
SG   R-3m
Calculated volume   158.0 Å³/cell
Density   10.1 g cm⁻³

Unit cell a=14.555 b=14.555 c=14.555 alpha=14.04 beta=14.04 gamma=14.04
Fractional coordinates of all 5 atoms:
Ho 0.000 0.000 0.000
Ho 0.400 0.400 0.400
Ho 0.600 0.600 0.600
Th 0.199 0.199 0.199
Th 0.801 0.801 0.801

=====

Entry 22:
Material: Ba4ScPt
Method: DFT, PBE
State: relaxed

Raw total energy   -2.616 eV/atom
Formation energy from the elements   0.727 eV per atom
SG   F-43m
Calculated volume   245.5 Å³/cell
Density   5.3 g cm⁻³

Unit cell a=7.028 b=7.028 c=7.028 alpha=60.00 beta=60.00 gamma=60.00
Fractional coordinates of all 6 atoms:
Ba 0.124 0.124 0.124
Ba 0.124 0.124 0.628
Ba 0.124 0.628 0.124
Ba 0.628 0.124 0.124
Sc 0.500 0.500 0.500
Pt 0.750 0.750 0.750